[1]
LiAs2Cl8 PBE relaxed; ρ = 1.83 g/cm3; raw formation energy = -7.9 eV/f.u.; volume = 400 Å³ per cell
1.0
6.137 -4.926 0.000
6.137 4.926 0.000
-1.664 0.000 6.617
Li As Cl
1 2 8
Cartesian
0.000 0.000 0.000 Li
0.959 0.000 4.202 As
9.651 0.000 2.414 As
4.545 3.171 1.344 Cl
1.741 0.000 1.820 Cl
6.065 3.171 5.273 Cl
2.916 0.000 5.175 Cl
7.694 0.000 1.442 Cl
4.545 -3.171 1.344 Cl
8.869 0.000 4.796 Cl
6.065 -3.171 5.273 Cl



[2]
Y9In3C2 PBE relaxed; ρ = 5.43 g/cm3; energy of formation from the pure elements = -0.482 eV per atom; volume = 357 Å³ per cell
1.0
6.957 0.000 0.000
-3.478 6.025 0.000
0.000 0.000 8.525
Y In C
9 3 2
Cartesian
-1.739 3.012 0.000 Y
0.000 2.051 5.719 Y
-1.702 4.999 5.719 Y
1.776 1.025 2.806 Y
3.478 0.000 0.000 Y
1.739 3.012 0.000 Y
1.702 4.999 5.719 Y
5.181 1.025 2.806 Y
3.478 3.974 2.806 Y
0.000 0.000 0.000 In
0.000 4.016 2.841 In
3.478 2.008 5.684 In
0.000 4.016 7.058 C
3.478 2.008 1.467 C



[3]
LiMnAs PBE relaxed; ρ = 4.29 g/cm3; energy of formation from the pure elements = -0.124 eV per atom; relative energy among the computed polymorphs = 0.3392 eV/atom; volume = 53 Å³ per cell
1.0
0.000 2.981 2.981
2.981 0.000 2.981
2.981 2.981 0.000
Li Mn As
1 1 1
Cartesian
0.000 0.000 0.000 Li
1.490 1.490 1.490 Mn
2.981 2.981 2.981 As



[4]
PIrO PBE relaxed; ρ = 8.83 g/cm3; raw formation energy = -1.5 eV/f.u.; relative energy among the computed polymorphs = 0.5274 eV/atom; volume = 45 Å³ per cell
1.0
2.989 0.000 0.000
-0.016 4.174 0.000
-1.473 -1.765 3.604
P Ir O
1 1 1
Cartesian
0.000 0.000 0.000 P
0.006 2.834 1.950 Ir
0.004 0.793 1.416 O



[5]
NaAsBr2N PBE relaxed; ρ = 3.48 g/cm3; raw formation energy = 1.4 eV/f.u.; relative energy among the computed polymorphs = 0.0000 eV/atom; volume = 130 Å³ per cell
1.0
5.931 0.000 0.000
0.000 5.931 0.000
0.000 0.000 3.689
Na As Br N
1 1 2 1
Cartesian
0.000 0.000 0.000 Na
2.965 2.965 0.000 As
0.000 2.965 1.845 Br
2.965 0.000 1.845 Br
2.965 2.965 1.845 N



[6]
GaRu2I PBE relaxed; ρ = 7.08 g/cm3; raw formation energy = 3.3 eV/f.u.; relative energy among the computed polymorphs = 0.2574 eV/atom; volume = 187 Å³ per cell
1.0
-2.848 2.848 5.766
2.848 -2.848 5.766
2.848 2.848 -5.766
Ga Ru I
2 4 2
Cartesian
0.000 0.000 0.000 Ga
0.000 2.848 2.883 Ga
4.272 1.326 -1.442 Ru
1.326 1.424 1.442 Ru
-1.424 1.521 4.325 Ru
1.521 1.424 7.208 Ru
2.848 0.000 2.883 I
0.000 0.000 5.766 I



[7]
Al2C PBE relaxed; ρ = 2.71 g/cm3; energy of formation from the pure elements = 0.549 eV per atom; volume = 81 Å³ per cell
1.0
1.479 -5.176 0.000
1.479 5.176 0.000
0.000 0.000 5.282
Al C
4 2
Cartesian
1.479 4.481 3.962 Al
1.479 3.185 1.321 Al
1.479 -3.185 3.962 Al
1.479 -4.481 1.321 Al
1.479 0.647 3.962 C
1.479 -0.647 1.321 C



[8]
Tb2GaO PBE relaxed; ρ = 6.33 g/cm3; raw formation energy = -5.1 eV/f.u.; relative energy among the computed polymorphs = 0.2380 eV/atom; volume = 106 Å³ per cell
1.0
1.918 1.107 8.313
-1.918 1.107 8.313
0.000 -2.215 8.313
Tb Ga O
2 1 1
Cartesian
0.000 0.000 2.033 Tb
0.000 0.000 22.906 Tb
0.000 0.000 12.469 Ga
0.000 0.000 0.000 O



[9]
CaGdZn2 PBE relaxed; ρ = 5.67 g/cm3; energy of formation from the pure elements = -0.297 eV per atom; volume = 96 Å³ per cell
1.0
5.170 0.000 0.000
0.000 5.170 0.000
0.000 0.000 3.594
Ca Gd Zn
1 1 2
Cartesian
0.000 0.000 0.000 Ca
2.585 2.585 0.000 Gd
0.000 2.585 1.797 Zn
2.585 0.000 1.797 Zn



[10]
La2HfV PBE relaxed; ρ = 7.76 g/cm3; energy of formation from the pure elements = 0.459 eV per atom; relative energy among the computed polymorphs = 0.0000 eV/atom; volume = 109 Å³ per cell
1.0
0.000 3.786 3.786
3.786 0.000 3.786
3.786 3.786 0.000
La Hf V
2 1 1
Cartesian
1.893 1.893 1.893 La
5.678 5.678 5.678 La
0.000 0.000 0.000 Hf
3.786 3.786 3.786 V



[11]
KLiPb2 PBE relaxed; ρ = 6.50 g/cm3; energy of formation from the pure elements = -0.043 eV per atom; relative energy among the computed polymorphs = 0.1802 eV/atom; volume = 118 Å³ per cell
1.0
0.000 3.889 3.889
3.889 0.000 3.889
3.889 3.889 0.000
K Li Pb
1 1 2
Cartesian
0.000 0.000 0.000 K
3.889 3.889 3.889 Li
1.944 1.944 1.944 Pb
5.833 5.833 5.833 Pb



[12]
ScGeCl5 PBE relaxed; ρ = 2.37 g/cm3; raw formation energy = -10.3 eV/f.u.; volume = 412 Å³ per cell
1.0
4.888 -4.801 0.000
4.888 4.801 0.000
-4.438 0.000 8.787
Sc Ge Cl
2 2 10
Cartesian
2.444 2.400 0.000 Sc
0.225 -2.400 4.393 Sc
1.559 4.059 6.590 Ge
3.778 -4.059 2.197 Ge
0.149 2.235 7.474 Cl
0.126 0.055 4.471 Cl
3.778 2.480 2.197 Cl
2.346 -0.055 0.077 Cl
2.969 2.235 5.706 Cl
2.368 -2.235 3.081 Cl
2.992 0.055 8.709 Cl
1.559 -2.480 6.590 Cl
5.211 -0.055 4.316 Cl
5.189 -2.235 1.313 Cl



Across the entries above, DFT total energy takes the values -0.227; -0.481; -0.395; -0.508; -0.238; -0.364; -0.369; -0.410; -0.364; -0.498; -0.195; -0.320 Ry/atom, respectively.